# 1
The following is a GGA-PBE calculation of a relaxed structure of Pm8MgHg2, from Alexandria.

## Properties
Polymorph energy (0 for the lowest one)   0.030 eV/atom
D(E_F)   1.023 states/eV per atom
Total energy   -3.7984 eV/atom

a = 9.611 Å, b = 9.611 Å, c = 7.409 Å
α = 106.60°, β = 106.60°, γ = 32.03°
Fractional positions:
Pm1 0.027 0.027 0.259
Pm2 0.189 0.189 0.795
Pm3 0.331 0.331 0.536
Pm4 0.410 0.410 0.034
Pm5 0.590 0.590 0.966
Pm6 0.669 0.669 0.464
Pm7 0.811 0.811 0.205
Pm8 0.973 0.973 0.741
Mg1 0.500 0.500 0.500
Hg1 0.188 0.188 0.205
Hg2 0.812 0.812 0.795

***

# 2
The following is a GGA-PBE calculation of a relaxed structure of Er4SiPd3, from Alexandria.

## Properties
Formation energy from raw total energies   -889 meV per atom
D(E_F)   0.548 states/eV per atom
Total energy   -5.7958 eV/atom

a = 3.824 Å, b = 4.310 Å, c = 10.659 Å
α = 90.00°, β = 90.00°, γ = 90.00°
Fractional positions:
Er1 0.000 0.000 0.000
Er2 0.000 0.500 0.279
Er3 0.500 0.000 0.498
Er4 0.500 0.500 0.780
Si1 0.500 0.000 0.219
Pd1 0.000 0.000 0.726
Pd2 0.000 0.500 0.553
Pd3 0.500 0.500 0.063

***

# 3
The following is a GGA-PBE calculation of a relaxed structure of BeAg2Hg, from Alexandria.

## Properties
Polymorph energy (0 for the lowest one)   0.000 eV/atom
D(E_F)   0.216 states/eV per atom
Total energy   -2.2813 eV/atom

a = 3.007 Å, b = 3.007 Å, c = 7.264 Å
α = 90.00°, β = 90.00°, γ = 90.00°
Fractional positions:
Be1 0.000 0.000 0.000
Ag1 0.500 0.500 0.196
Ag2 0.500 0.500 0.804
Hg1 0.000 0.000 0.500

***

# 4
The following is a GGA-PBE calculation of a relaxed structure of ZrAlSi, from Alexandria.

## Properties
Formation energy from raw total energies   -406 meV per atom
D(E_F)   0.458 states/eV per atom
Total energy   -6.3107 eV/atom

a = 5.711 Å, b = 6.685 Å, c = 5.523 Å
α = 90.00°, β = 90.00°, γ = 90.00°
Fractional positions:
Zr1 0.102 0.080 0.250
Zr2 0.102 0.420 0.750
Zr3 0.898 0.580 0.250
Zr4 0.898 0.920 0.750
Al1 0.395 0.070 0.750
Al2 0.395 0.430 0.250
Al3 0.605 0.570 0.750
Al4 0.605 0.930 0.250
Si1 0.264 0.750 0.000
Si2 0.264 0.750 0.500
Si3 0.736 0.250 0.000
Si4 0.736 0.250 0.500

***

# 5
The following is a GGA-PBE calculation of a relaxed structure of KNaAsO2, from Alexandria.

## Properties
Formation energy from raw total energies   -938 meV per atom
D(E_F)   0.551 states/eV per atom
Total energy   -4.3347 eV/atom

a = 6.255 Å, b = 5.490 Å, c = 5.989 Å
α = 90.00°, β = 98.84°, γ = 90.00°
Fractional positions:
K1 0.000 0.232 0.250
K2 0.000 0.768 0.750
Na1 0.500 0.013 0.750
Na2 0.500 0.987 0.250
As1 0.500 0.500 0.000
As2 0.500 0.500 0.500
O1 0.302 0.234 0.975
O2 0.302 0.766 0.475
O3 0.698 0.234 0.525
O4 0.698 0.766 0.025

***

# 6
The following is a GGA-PBE calculation of a relaxed structure of LiTaSi, from Alexandria.

## Properties
Formation energy from raw total energies   33 meV per atom
D(E_F)   0.360 states/eV per atom
Total energy   -6.3632 eV/atom

a = 5.004 Å, b = 5.004 Å, c = 5.004 Å
α = 148.24°, β = 137.71°, γ = 53.84°
Fractional positions:
Li1 0.000 0.000 0.000
Ta1 0.308 0.308 0.000
Si1 0.632 0.632 0.000